1.
4
Lattice="5.8973 -0.0742 -0.0185 3.0816 5.0286 0.0185 -3.7376 -3.8398 2.4638" Properties=species:S:1:pos:R:3 comment="Al2ZnCd GGA-PBE optimized geometry" polymorph_energy_mev_per_atom=74 magmom_total_mub_per_cell=0.00 vol_a3_per_atom=18.5 dos_ef_per_ev_cell=1.4 pbc="T T T"
Zn 3.3246 -0.7184 1.2226
Al 8.8275 4.8709 0.0000
Al 4.6408 2.5607 0.0000
Cd 1.9167 1.8330 1.2411

2.
4
Lattice="-4.5128 3.2689 1.3917 -4.1279 0.9939 -3.8679 -5.1828 -2.3874 0.6534" Properties=species:S:1:pos:R:3 comment="NaLaPmLu GGA-PBE optimized geometry" magmom_total_mub_per_cell=0.00 e_tot_ev_per_atom=-3.63 vol_a3_per_atom=33.5 dos_ef_per_ev_cell=4.9 pbc="T T T"
Na -6.9117 0.9377 -0.9114
Lu 0.0000 0.0000 0.0000
Pm -3.4559 0.4689 -0.4557
La -10.3676 1.4066 -1.3671

3.
6
Lattice="5.5447 0.0000 0.0000 2.7723 4.8018 0.0000 2.7723 1.6006 4.5272" Properties=species:S:1:pos:R:3 comment="MgNb2 GGA-PBE optimized geometry" polymorph_energy_mev_per_atom=190 magmom_total_mub_per_cell=0.00 vol_a3_per_atom=20.1 dos_ef_per_ev_cell=4.1 pbc="T T T"
Nb 4.1585 4.0015 2.8295
Nb 5.5447 1.6006 2.8295
Nb 6.9308 4.0015 2.8295
Nb 5.5447 3.2012 0.5659
Mg 0.0000 0.0000 0.0000
Mg 2.7723 1.6006 1.1318

4.
8
Lattice="-0.4913 6.2718 1.7973 -8.2426 -4.5290 -6.0764 -1.7797 -1.0446 3.1593" Properties=species:S:1:pos:R:3 comment="ZrHgSe2 GGA-PBE optimized geometry" polymorph_energy_mev_per_atom=2 magmom_total_mub_per_cell=0.00 vol_a3_per_atom=30.3 dos_ef_per_ev_cell=1.4 pbc="T T T"
Zr -2.1573 4.6203 1.5646
Zr -2.8036 0.9612 2.2478
Se -8.6561 -4.1990 -4.9464
Se -9.7970 -1.5844 -2.4703
Se -4.0510 -1.0214 0.8878
Se -3.4121 2.6387 0.2043
Hg -6.7679 -2.9339 -1.0637
Hg -7.2245 0.2439 -0.2577

5.
4
Lattice="-5.2984 8.0423 0.5421 -5.9744 7.2620 -2.1482 -7.4266 6.1550 0.0809" Properties=species:S:1:pos:R:3 comment="HgPt2W GGA-PBE optimized geometry" magmom_total_mub_per_cell=0.00 e_tot_ev_per_atom=-6.34 vol_a3_per_atom=17.1 dos_ef_per_ev_cell=4.1 pbc="T T T"
Hg -14.0245 16.0945 -1.1439
Pt -18.5758 21.3176 -1.5151
Pt -9.4732 10.8715 -0.7727
W -4.6748 5.3648 -0.3813

6.
18
Lattice="-1.8714 -3.4115 0.4045 3.4331 1.2808 7.7684 -9.9050 5.8383 3.4148" Properties=species:S:1:pos:R:3 comment="Ce2NdCuS5 GGA-PBE optimized geometry" magmom_total_mub_per_cell=3.57 e_tot_ev_per_atom=-6.31 vol_a3_per_atom=21.8 dos_ef_per_ev_cell=23.4 pbc="T T T"
Ce -7.4230 2.9239 9.2354
Ce -6.2888 3.9464 4.1891
Ce -2.8813 1.9396 3.0283
Ce -0.9175 -0.9090 7.0066
Nd -4.5626 1.1067 7.1433
Nd 0.6046 0.0160 2.9325
Cu -9.8156 3.6281 4.1053
Cu -1.9059 2.0707 8.6471
S 1.5250 -0.1746 5.5836
S -8.5208 3.1435 6.0084
S -4.9548 3.9506 10.3968
S -5.3996 3.8126 7.1746
S -3.5507 0.8604 9.7475
S -5.3210 1.2018 4.4364
S -1.9399 1.8122 6.3093
S -3.3545 -0.2631 1.1792
S -1.8902 -0.7260 4.0499
S -0.0536 0.0539 0.2064